Entry 1:
VASP calculation (PBE) on MnNbPd14 after structural relaxation.

```
16
Lattice="5.6134 0.0000 0.0000 0.0000 5.6134 0.0000 0.0000 0.0000 7.8202" Properties=species:S:1:pos:R:3 pbc="T T T"
Mn 0.0000 0.0000 0.0000
Nb 2.8067 2.8067 0.0000
Pd 0.0000 0.0000 3.9101
Pd 0.0000 2.8067 0.0000
Pd 0.0000 2.8067 3.9101
Pd 1.4080 1.4080 1.9089
Pd 1.4080 1.4080 5.9113
Pd 1.4080 4.2055 1.9089
Pd 1.4080 4.2055 5.9113
Pd 2.8067 0.0000 0.0000
Pd 2.8067 0.0000 3.9101
Pd 2.8067 2.8067 3.9101
Pd 4.2055 1.4080 1.9089
Pd 4.2055 1.4080 5.9113
Pd 4.2055 4.2055 1.9089
Pd 4.2055 4.2055 5.9113
```

Results
Calculated total energy ... -94.91 eV/cell
Space group ... P4/mmm, No. 123
ρ ... 11.036 g cm⁻³
Crystal system ... tetragonal
Energy of formation ... -186 meV per atom

---

Entry 2:
VASP calculation (PBE) on Mn2NbPd after structural relaxation.

```
4
Lattice="4.1662 0.0000 0.0000 0.0000 4.1662 0.0000 0.0000 0.0000 3.4025" Properties=species:S:1:pos:R:3 pbc="T T T"
Mn 0.0000 2.0831 0.0000
Mn 2.0831 0.0000 0.0000
Nb 0.0000 0.0000 1.7012
Pd 2.0831 2.0831 1.7012
```

Results
Calculated total energy ... -33.97 eV/cell
Space group ... P4/mmm, No. 123
ρ ... 8.694 g cm⁻³
Crystal system ... tetragonal
Energy of formation ... -93 meV per atom

---

Entry 3:
VASP calculation (PBE) on Mn2Nb4Pd after structural relaxation.

```
7
Lattice="-2.3971 2.3971 6.1170 2.3971 -2.3971 6.1170 2.3971 2.3971 -6.1170" Properties=species:S:1:pos:R:3 pbc="T T T"
Mn 0.0000 0.0000 1.2712
Mn 0.0000 0.0000 10.9627
Nb 2.3971 0.0000 0.0000
Nb 0.0000 0.0000 3.5074
Nb 0.0000 2.3971 0.0000
Nb 0.0000 0.0000 8.7266
Pd 0.0000 0.0000 6.1170
```

Results
Calculated total energy ... -55.68 eV/cell
Space group ... I4/mmm, No. 139
ρ ... 6.944 g cm⁻³
Crystal system ... tetragonal
Energy of formation ... 1161 meV per atom

---

Entry 4:
VASP calculation (PBE) on Mn3NbPd12 after structural relaxation.

```
16
Lattice="3.9458 0.0000 0.0000 0.0000 3.9458 0.0000 0.0000 0.0000 15.6837" Properties=species:S:1:pos:R:3 pbc="T T T"
Mn 0.0000 0.0000 0.0000
Mn 0.0000 0.0000 3.8447
Mn 0.0000 0.0000 11.8390
Nb 0.0000 0.0000 7.8418
Pd 0.0000 1.9729 1.9439
Pd 0.0000 1.9729 5.8924
Pd 0.0000 1.9729 9.7913
Pd 0.0000 1.9729 13.7398
Pd 1.9729 0.0000 1.9439
Pd 1.9729 0.0000 5.8924
Pd 1.9729 0.0000 9.7913
Pd 1.9729 0.0000 13.7398
Pd 1.9729 1.9729 0.0000
Pd 1.9729 1.9729 3.9154
Pd 1.9729 1.9729 7.8418
Pd 1.9729 1.9729 11.7683
```

Results
Calculated total energy ... -104.54 eV/cell
Space group ... P4/mmm, No. 123
ρ ... 10.437 g cm⁻³
Crystal system ... tetragonal
Energy of formation ... -290 meV per atom

---

Entry 5:
VASP calculation (PBE) on Mn3NbPd after structural relaxation.

```
5
Lattice="4.4140 0.0000 0.0000 0.0000 4.4140 0.0000 0.0000 0.0000 4.4140" Properties=species:S:1:pos:R:3 pbc="T T T"
Mn 0.0000 0.0000 2.2070
Mn 0.0000 2.2070 0.0000
Mn 2.2070 0.0000 0.0000
Nb 2.2070 2.2070 2.2070
Pd 0.0000 0.0000 0.0000
```

Results
Calculated total energy ... -33.45 eV/cell
Space group ... Pm-3m, No. 221
ρ ... 7.031 g cm⁻³
Crystal system ... cubic
Energy of formation ... 1864 meV per atom

---

Entry 6:
VASP calculation (PBE) on Mn2Nb2Pd after structural relaxation.

```
10
Lattice="6.8022 0.0000 0.0000 0.0000 6.8022 0.0000 0.0000 0.0000 3.2330" Properties=species:S:1:pos:R:3 pbc="T T T"
Mn 0.7548 2.6463 0.0000
Mn 2.6463 6.0474 0.0000
Mn 4.1559 0.7548 0.0000
Mn 6.0474 4.1559 0.0000
Nb 1.3098 4.7109 1.6165
Nb 2.0913 1.3098 1.6165
Nb 4.7109 5.4924 1.6165
Nb 5.4924 2.0913 1.6165
Pd 0.0000 0.0000 0.0000
Pd 3.4011 3.4011 0.0000
```

Results
Calculated total energy ... -87.23 eV/cell
Space group ... P4/mbm, No. 127
ρ ... 8.927 g cm⁻³
Crystal system ... tetragonal
Energy of formation ... 11 meV per atom

---

Entry 7:
VASP calculation (PBE) on Mn2NbPd8 after structural relaxation.

```
11
Lattice="-2.0604 3.4794 6.0703 2.0604 -3.4794 6.0703 2.0604 3.4794 -6.0703" Properties=species:S:1:pos:R:3 pbc="T T T"
Mn 0.0000 0.0000 2.3071
Mn 0.0000 0.0000 9.8335
Nb 0.0000 0.0000 6.0703
Pd 2.0604 1.5593 -1.9254
Pd 0.0000 1.4201 0.0000
Pd 2.0604 0.0000 4.2411
Pd 2.0604 1.5593 1.9254
Pd 0.0000 1.9200 4.1449
Pd 0.0000 3.4794 1.8292
Pd 0.0000 5.5387 0.0000
Pd 0.0000 1.9200 7.9957
```

Results
Calculated total energy ... -72.56 eV/cell
Space group ... Immm, No. 71
ρ ... 10.056 g cm⁻³
Crystal system ... orthorhombic
Energy of formation ... -237 meV per atom

---

Entry 8:
VASP calculation (PBE) on Mn2NbPd after structural relaxation.

```
4
Lattice="3.1952 0.0000 0.0000 0.0000 3.1952 0.0000 0.0000 0.0000 5.9012" Properties=species:S:1:pos:R:3 pbc="T T T"
Mn 0.0000 0.0000 1.4391
Mn 0.0000 0.0000 4.4621
Nb 1.5976 1.5976 0.0000
Pd 1.5976 1.5976 2.9506
```

Results
Calculated total energy ... -33.83 eV/cell
Space group ... P4/mmm, No. 123
ρ ... 8.522 g cm⁻³
Crystal system ... tetragonal
Energy of formation ... -58 meV per atom

---

Entry 9:
VASP calculation (PBE) on Mn4NbPd after structural relaxation.

```
6
Lattice="0.0000 3.3692 3.3692 3.3692 0.0000 3.3692 3.3692 3.3692 0.0000" Properties=species:S:1:pos:R:3 pbc="T T T"
Mn 2.5467 2.5467 2.5467
Mn 4.1918 4.1918 2.5467
Mn 4.1918 2.5467 4.1918
Mn 2.5467 4.1918 4.1918
Nb 0.0000 0.0000 0.0000
Pd 5.0538 5.0538 5.0538
```

Results
Calculated total energy ... -52.21 eV/cell
Space group ... F-43m, No. 216
ρ ... 9.098 g cm⁻³
Crystal system ... cubic
Energy of formation ... -44 meV per atom

---

Entry 10:
VASP calculation (PBE) on MnNb2Pd after structural relaxation.

```
4
Lattice="2.9271 0.0000 0.0000 0.0000 2.9271 0.0000 0.0000 0.0000 7.3187" Properties=species:S:1:pos:R:3 pbc="T T T"
Mn 0.0000 0.0000 0.0000
Nb 1.4636 1.4636 1.6114
Nb 1.4636 1.4636 5.7073
Pd 0.0000 0.0000 3.6593
```

Results
Calculated total energy ... -35.12 eV/cell
Space group ... P4/mmm, No. 123
ρ ... 9.193 g cm⁻³
Crystal system ... tetragonal
Energy of formation ... -155 meV per atom

---

Entry 11:
VASP calculation (PBE) on Mn2Nb2PdS6 after structural relaxation.

```
11
Lattice="2.9239 -5.7158 0.0000 2.9239 5.7158 0.0000 -1.5347 0.0000 6.0256" Properties=species:S:1:pos:R:3 pbc="T T T"
Mn 2.9239 3.8858 0.0000
Mn 2.9239 -3.8858 0.0000
Nb 2.1566 1.4595 3.0128
Nb 2.1566 -1.4595 3.0128
Pd -0.7673 0.0000 3.0128
S 0.3167 2.2602 4.4634
S 1.0856 0.0000 1.3718
S 0.3167 -2.2602 4.4634
S 3.9965 2.2602 1.5622
S 3.2276 0.0000 4.6539
S 3.9965 -2.2602 1.5622
```

Results
Calculated total energy ... -75.31 eV/cell
Space group ... C2/m, No. 12
ρ ... 4.901 g cm⁻³
Crystal system ... monoclinic

---

Entry 12:
VASP calculation (PBE) on MnNbTc2Pd after structural relaxation.

```
5
Lattice="4.3613 0.0000 0.0000 0.0000 4.3613 0.0000 0.0000 0.0000 4.5498" Properties=species:S:1:pos:R:3 pbc="T T T"
Mn 0.0000 0.0000 0.0000
Nb 2.1807 2.1807 2.2749
Tc 0.0000 2.1807 0.0000
Tc 2.1807 0.0000 0.0000
Pd 0.0000 0.0000 2.2749
```

Results
Calculated total energy ... -40.24 eV/cell
Space group ... P4/mmm, No. 123
ρ ... 8.640 g cm⁻³
Crystal system ... tetragonal
Energy of formation ... 985 meV per atom